Record 1
Computed, not measured: a geometry-optimized Ti6Al3S structure at the PBE level of DFT.

Output
total magnetic moment: 0.002 Bohr magnetons per cell
E_tot: -131.57 eV for the cell shown

Cell lengths 10.0699, 5.3823, 7.9600 Å; angles 90.00, 126.71, 90.00 degrees
With the nearest neighbours (Å) after each atom.
Space group C2/m (No. 12)
Symmetry-distinct sites (fractional):
Ti (0.0945, 0.2475, 0.2971) x8  1 S 2.36
Ti (0.2352, 0.5000, 0.9115) x4  1 S 2.32
Al (0.0000, 0.5000, 0.5000) x2  6 Ti 2.66-2.68
Al (0.1493, 0.0000, 0.6795) x4  1 Al 2.63, 5 Ti 2.73-2.90
S (0.0000, 0.0000, 0.0000) x2  6 Ti 2.32-2.36

Record 2
Computed, not measured: a geometry-optimized TiAl2S4 structure at the PBE level of DFT.

Output
total magnetic moment: 4.000 Bohr magnetons per cell
E_tot: -76.28 eV for the cell shown

Cell lengths 7.2304, 7.2304, 6.1059 Å; angles 90.00, 90.00, 90.00 degrees
With the nearest neighbours (Å) after each atom.
Space group I4/m (No. 87)
Symmetry-distinct sites (fractional):
Ti (0.0000, 0.0000, 0.0000) x2  4 S 2.55
Al (0.0000, 0.5000, 0.2500) x4  4 S 2.28
S (0.1501, 0.3193, 0.0000) x8  2 Al 2.28, 1 Ti 2.55